1.
Below is crystalline AsSeF3 at its relaxed geometry, with properties calculated at the GGA-PBEsol level.

Computed properties:
Total magnetization, μB/f.u.: 2.1
Fermi-level density of states, states/eV/f.u.: 6.08
Calculated density, g/cm³: 4.292
Formation energy from raw total energies, eV per atom: -0.30

```
AsSeF3
1.0
4.3370 0.0000 0.0000
0.0000 4.3370 0.0000
0.0000 0.0000 4.3370
Se F As
1 3 1
Direct
0.5000 0.5000 0.5000 Se
0.0000 0.5000 0.5000 F
0.5000 0.5000 0.0000 F
0.5000 0.0000 0.5000 F
0.0000 0.0000 0.0000 As
```

=====

2.
Below is crystalline CoNiMo2Ir at its relaxed geometry, with properties calculated at the GGA-PBEsol level.

Computed properties:
Total magnetization, μB/f.u.: 1.1
Fermi-level density of states, states/eV/f.u.: 7.38
E_form, eV per atom: 1.5876
Calculated density, g/cm³: 10.208

```
CoNiMo2Ir
1.0
4.2948 0.0000 0.0000
0.0000 4.2948 0.0000
0.0000 0.0000 4.4247
Co Ir Mo Ni
1 1 2 1
Direct
0.5000 0.5000 0.5000 Co
0.0000 0.0000 0.5000 Ir
0.5000 0.0000 0.0000 Mo
0.0000 0.5000 0.0000 Mo
0.0000 0.0000 0.0000 Ni
```

=====

3.
Below is crystalline Mo2RuRh at its relaxed geometry, with properties calculated at the GGA-PBEsol level.

Computed properties:
Total magnetization, μB/f.u.: 0.0
ΔE to the lowest computed polymorph, meV per atom: 84
Fermi-level density of states, states/eV/f.u.: 3.97
E_form, eV per atom: 0.0048
Calculated density, g/cm³: 11.445

```
Mo2RuRh
1.0
-2.0372 1.5325 -1.0025
1.0467 -3.2020 -3.2794
-3.1212 -2.5103 2.5054
Mo Rh Ru
2 1 1
Direct
0.0077 0.0154 0.0230 Mo
0.2424 0.4849 0.7281 Mo
0.4970 0.9939 0.5150 Rh
0.7529 0.5058 0.2339 Ru
```

=====

4.
Below is crystalline NaCaBePd2 at its relaxed geometry, with properties calculated at the GGA-PBEsol level.

Computed properties:
Total magnetization, μB/f.u.: 0.0
Fermi-level density of states, states/eV/f.u.: 2.12
E_form, eV per atom: 1.1260
Calculated density, g/cm³: 4.002

```
NaCaBePd2
1.0
4.8248 0.0000 0.0000
0.0000 4.8248 0.0000
0.0000 0.0000 5.0782
Pd Ca Be Na
2 1 1 1
Direct
0.0000 0.5000 0.0000 Pd
0.5000 0.0000 0.0000 Pd
0.0000 0.0000 0.0000 Ca
0.5000 0.5000 0.5000 Be
0.0000 0.0000 0.5000 Na
```

=====

5.
Below is crystalline ScAlN2 at its relaxed geometry, with properties calculated at the GGA-PBEsol level.

Computed properties:
Total magnetization, μB/f.u.: 0.0
Fermi-level density of states, states/eV/f.u.: 0.18
Calculated density, g/cm³: 3.031
Formation energy from raw total energies, eV per atom: -0.95

```
ScAlN2
1.0
3.3495 0.0000 0.0000
1.6747 2.9007 0.0000
1.6747 0.9669 5.6350
Sc Al N
1 1 2
Direct
0.5000 0.5000 0.5000 Sc
0.0000 0.0000 0.0000 Al
0.1024 0.1024 0.6929 N
0.8976 0.8976 0.3071 N
```

=====

6.
Below is crystalline Si2Pt at its relaxed geometry, with properties calculated at the GGA-PBEsol level.

Computed properties:
Total magnetization, μB/f.u.: 0.0
Fermi-level density of states, states/eV/f.u.: 0.51
Calculated density, g/cm³: 8.989
Formation energy from raw total energies, eV per atom: -0.44

```
Si2Pt
1.0
-0.3380 0.7637 3.7054
-0.1623 -3.6009 2.6742
5.8169 0.2532 2.4253
Si Pt
4 2
Direct
0.4089 0.2832 0.8991 Si
0.8382 0.7720 0.5517 Si
0.5911 0.7168 0.1009 Si
0.1618 0.2280 0.4483 Si
0.8304 0.1260 0.2133 Pt
0.1696 0.8740 0.7867 Pt
```

=====

7.
Below is crystalline YTiPd2 at its relaxed geometry, with properties calculated at the GGA-PBEsol level.

Computed properties:
Total magnetization, μB/f.u.: 0.0
Fermi-level density of states, states/eV/f.u.: 4.50
E_form, eV per atom: -0.5510
Calculated density, g/cm³: 8.087

```
YTiPd2
1.0
-2.3711 3.9646 -0.6502
-2.8010 0.4624 -3.7017
-4.6293 0.0698 0.5721
Ti Pd Y
1 2 1
Direct
0.0000 0.0000 0.0000 Ti
0.7500 0.7500 0.7500 Pd
0.2500 0.2500 0.2500 Pd
0.5000 0.5000 0.5000 Y
```

=====

8.
Below is crystalline TaIr2Br at its relaxed geometry, with properties calculated at the GGA-PBEsol level.

Computed properties:
Total magnetization, μB/f.u.: 0.0
ΔE to the lowest computed polymorph, meV per atom: 0
Fermi-level density of states, states/eV/f.u.: 1.00
Calculated density, g/cm³: 11.604
Formation energy from raw total energies, eV per atom: 0.24

```
TaIr2Br
1.0
3.0643 0.0000 0.0000
-1.5321 4.6944 0.0806
0.0000 -1.6104 6.3914
Br Ir Ta
1 2 1
Direct
0.8960 0.7920 0.2640 Br
0.9210 0.8421 0.8509 Ir
0.1908 0.3816 0.7919 Ir
0.4922 0.9844 0.5931 Ta
```

=====

9.
Below is crystalline YAg2 at its relaxed geometry, with properties calculated at the GGA-PBEsol level.

Computed properties:
Total magnetization, μB/f.u.: 0.0
Fermi-level density of states, states/eV/f.u.: 1.86
E_form, eV per atom: -0.2524
Calculated density, g/cm³: 8.054

```
YAg2
1.0
-3.3096 -2.9957 -2.5596
3.2905 0.5406 -4.8874
4.3435 -6.6671 2.1868
Y Ag
4 8
Direct
0.7500 0.3113 0.4033 Y
0.2500 0.6887 0.5967 Y
0.2500 0.1887 0.9033 Y
0.7500 0.8113 0.0967 Y
0.7500 0.5511 0.7586 Ag
0.2500 0.4489 0.2414 Ag
0.7500 0.8138 0.4524 Ag
0.7500 0.3138 0.0476 Ag
0.7500 0.0511 0.7414 Ag
0.2500 0.6862 0.9524 Ag
0.2500 0.1862 0.5476 Ag
0.2500 0.9489 0.2586 Ag
```

=====

10.
Below is crystalline NaCaSn3 at its relaxed geometry, with properties calculated at the GGA-PBEsol level.

Computed properties:
Total magnetization, μB/f.u.: 0.0
Fermi-level density of states, states/eV/f.u.: 4.54
E_form, eV per atom: 0.4199
Calculated density, g/cm³: 3.744

```
NaCaSn3
1.0
-1.0285 -2.4696 -5.0418
5.5093 -1.4298 -0.4236
-1.0798 -4.9430 2.6414
Ca Na Sn
1 1 3
Direct
0.0000 0.0000 0.0000 Ca
0.5000 0.5000 0.5000 Na
0.0000 0.0000 0.5000 Sn
0.0000 0.5000 0.0000 Sn
0.5000 0.0000 0.0000 Sn
```

=====

11.
Below is crystalline SrSi2Os at its relaxed geometry, with properties calculated at the GGA-PBEsol level.

Computed properties:
Total magnetization, μB/f.u.: 0.0
Fermi-level density of states, states/eV/f.u.: 2.26
Calculated density, g/cm³: 7.745
Formation energy from raw total energies, eV per atom: -0.10

```
SrSi2Os
1.0
3.1762 0.0000 0.0000
0.0000 3.1762 0.0000
0.0000 0.0000 7.0989
Os Si Sr
1 2 1
Direct
0.5000 0.5000 0.8389 Os
0.5000 0.5000 0.1824 Si
0.0000 0.0000 0.9779 Si
0.0000 0.0000 0.5008 Sr
```

=====

12.
Below is crystalline CoCuNi2Pd at its relaxed geometry, with properties calculated at the GGA-PBEsol level.

Computed properties:
Total magnetization, μB/f.u.: 4.2
Fermi-level density of states, states/eV/f.u.: 10.65
E_form, eV per atom: 1.6885
Calculated density, g/cm³: 6.529

```
CoCuNi2Pd
1.0
-1.3328 -1.1782 4.0531
-3.9898 -1.0356 -1.6130
1.3991 -4.2037 -0.7619
Ni Pd Cu Co
2 1 1 1
Direct
0.0000 0.5000 0.0000 Ni
0.5000 0.0000 0.0000 Ni
0.0000 0.0000 0.0000 Pd
0.0000 0.0000 0.5000 Cu
0.5000 0.5000 0.5000 Co
```

=====

13.
Below is crystalline TiCrMo2 at its relaxed geometry, with properties calculated at the GGA-PBEsol level.

Computed properties:
Total magnetization, μB/f.u.: 0.0
Fermi-level density of states, states/eV/f.u.: 3.62
E_form, eV per atom: -0.0116
Calculated density, g/cm³: 8.588

```
TiCrMo2
1.0
4.3048 0.0000 0.0000
2.1524 3.7280 0.0000
2.1524 1.2427 3.5148
Cr Ti Mo
1 1 2
Direct
0.5000 0.5000 0.5000 Cr
0.0000 0.0000 0.0000 Ti
0.7500 0.7500 0.7500 Mo
0.2500 0.2500 0.2500 Mo
```

=====

14.
Below is crystalline SrTe2Pb at its relaxed geometry, with properties calculated at the GGA-PBEsol level.

Computed properties:
Total magnetization, μB/f.u.: 0.0
Calculated density, g/cm³: 6.572
Formation energy from raw total energies, eV per atom: -1.04

```
SrTe2Pb
1.0
4.6116 -0.0098 0.0000
0.0102 4.6117 0.0000
0.0000 0.0000 6.5341
Te Sr Pb
2 1 1
Direct
0.3771 0.3771 0.5000 Te
0.8762 0.8762 0.0000 Te
0.8771 0.8771 0.5000 Sr
0.3752 0.3752 0.0000 Pb
```

=====

15.
Below is crystalline CdAsOF2 at its relaxed geometry, with properties calculated at the GGA-PBEsol level.

Computed properties:
Total magnetization, μB/f.u.: 1.1
Fermi-level density of states, states/eV/f.u.: 3.02
Calculated density, g/cm³: 5.194
Formation energy from raw total energies, eV per atom: -0.57

```
CdAsOF2
1.0
-1.9531 -3.2670 1.7686
0.7789 -2.3138 -3.4140
3.7905 -1.3153 1.7562
F Cd As O
2 1 1 1
Direct
0.0000 0.5000 0.0000 F
0.5000 0.0000 0.0000 F
0.0000 0.0000 0.0000 Cd
0.5000 0.5000 0.5000 As
0.0000 0.0000 0.5000 O
```

=====

16.
Below is crystalline Sr2YNiHg at its relaxed geometry, with properties calculated at the GGA-PBEsol level.

Computed properties:
Total magnetization, μB/f.u.: 0.0
Fermi-level density of states, states/eV/f.u.: 4.14
E_form, eV per atom: 0.4183
Calculated density, g/cm³: 5.062

```
Sr2YNiHg
1.0
4.7988 0.0000 0.0000
0.0000 5.9818 0.0000
0.0000 0.0000 5.9818
Sr Ni Hg Y
2 1 1 1
Direct
0.0000 0.0000 0.5000 Sr
0.0000 0.5000 0.0000 Sr
0.5000 0.0000 0.0000 Ni
0.0000 0.0000 0.0000 Hg
0.5000 0.5000 0.5000 Y
```

=====

17.
Below is crystalline TlHg2Au at its relaxed geometry, with properties calculated at the GGA-PBEsol level.

Computed properties:
Total magnetization, μB/f.u.: 0.0
ΔE to the lowest computed polymorph, meV per atom: 23
Fermi-level density of states, states/eV/f.u.: 1.21
E_form, eV per atom: 0.0450
Calculated density, g/cm³: 14.163

```
TlHg2Au
1.0
3.7996 0.0000 0.0000
-1.8998 4.3865 0.0616
0.0000 -1.8233 5.6198
Hg Au Tl
2 1 1
Direct
0.7459 0.4917 0.2267 Hg
0.9927 0.9854 0.9785 Hg
0.2527 0.5055 0.7716 Au
0.5087 0.0174 0.5232 Tl
```

=====

18.
Below is crystalline Sc2MnW at its relaxed geometry, with properties calculated at the GGA-PBEsol level.

Computed properties:
Total magnetization, μB/f.u.: 2.3
ΔE to the lowest computed polymorph, meV per atom: 369
Fermi-level density of states, states/eV/f.u.: 4.61
E_form, eV per atom: 0.4271
Calculated density, g/cm³: 7.947

```
Sc2MnW
1.0
2.9223 0.0000 0.0000
1.4611 2.5308 0.0000
1.4611 0.8436 9.2866
W Mn Sc
1 1 2
Direct
0.5000 0.5000 0.5000 W
0.0000 0.0000 0.0000 Mn
0.7456 0.7456 0.7631 Sc
0.2544 0.2544 0.2369 Sc
```

=====

19.
Below is crystalline SrNiH2N at its relaxed geometry, with properties calculated at the GGA-PBEsol level.

Computed properties:
Calculated total energy, eV/atom: -4.970
Total magnetization, μB/f.u.: 0.0
Fermi-level density of states, states/eV/f.u.: 2.59
Calculated density, g/cm³: 5.509

```
SrNiH2N
1.0
3.6273 0.0000 0.0000
0.0000 3.6273 0.0000
0.0000 0.0000 3.7188
N H Sr Ni
1 2 1 1
Direct
0.0000 0.0000 0.5000 N
0.0000 0.5000 0.0000 H
0.5000 0.0000 0.0000 H
0.5000 0.5000 0.5000 Sr
0.0000 0.0000 0.0000 Ni
```

=====

20.
Below is crystalline Na2DyMoPO8 at its relaxed geometry, with properties calculated at the GGA-PBEsol level.

Computed properties:
Total magnetization, μB/f.u.: 0.0
Fermi-level density of states, states/eV/f.u.: 0.00
Calculated density, g/cm³: 4.150
Formation energy from raw total energies, eV per atom: -2.52

```
Na2DyMoPO8
1.0
-6.3256 -2.6061 0.6778
0.5237 -11.0157 -2.6017
0.1525 -7.1531 8.7863
Na O Mo Dy P
8 32 4 4 4
Direct
0.1451 0.8986 0.7930 Na
0.3549 0.2070 0.1014 Na
0.1633 0.2930 0.3986 Na
0.3367 0.6014 0.7070 Na
0.6451 0.7930 0.8986 Na
0.6633 0.3986 0.2930 Na
0.8367 0.7070 0.6014 Na
0.8549 0.1014 0.2070 Na
0.8081 0.9222 0.9401 O
0.5885 0.8927 0.3495 O
0.1951 0.3986 0.1388 O
0.2326 0.1014 0.3612 O
0.9184 0.6554 0.3595 O
0.8296 0.4222 0.4401 O
0.7674 0.8986 0.6388 O
0.7326 0.3612 0.1014 O
0.3296 0.4401 0.4222 O
0.0667 0.8595 0.1554 O
0.0816 0.3446 0.6405 O
0.1694 0.8495 0.3927 O
0.1704 0.5778 0.5599 O
0.8049 0.6014 0.8612 O
0.4115 0.1073 0.6505 O
0.1919 0.0778 0.0599 O
0.2674 0.6388 0.8986 O
0.9333 0.1405 0.8446 O
0.6951 0.1388 0.3986 O
0.5667 0.1554 0.8595 O
0.4333 0.8446 0.1405 O
0.0885 0.3495 0.8927 O
0.8306 0.1505 0.6073 O
0.3049 0.8612 0.6014 O
0.4184 0.3595 0.6554 O
0.6919 0.0599 0.0778 O
0.3306 0.6073 0.1505 O
0.5816 0.6405 0.3446 O
0.9115 0.6505 0.1073 O
0.3081 0.9401 0.9222 O
0.6694 0.3927 0.8495 O
0.6704 0.5599 0.5778 O
0.1777 0.5723 0.0723 Mo
0.6777 0.0723 0.5723 Mo
0.3223 0.9277 0.4277 Mo
0.8223 0.4277 0.9277 Mo
0.2500 0.6795 0.3205 Dy
0.7500 0.3205 0.6795 Dy
0.7500 0.8205 0.1795 Dy
0.2500 0.1795 0.8205 Dy
0.2500 0.4323 0.5677 P
0.2500 0.9323 0.0677 P
0.7500 0.5677 0.4323 P
0.7500 0.0677 0.9323 P
```